Here is a relaxed structure of Fe2OsBr from Alexandria. Energies are from GGA-PBE.

```
data_Fe2OsBr
_space_group_name_H-M_alt 'P 1'
_space_group_IT_number 1
_cell_length_a 2.926
_cell_length_b 2.926
_cell_length_c 7.012
_cell_angle_alpha 90.00
_cell_angle_beta 90.00
_cell_angle_gamma 90.00
loop_
_space_group_symop_operation_xyz
'x,y,z'
loop_
_atom_site_label
_atom_site_fract_x
_atom_site_fract_y
_atom_site_fract_z
Fe1 0.000 0.000 0.226
Fe2 0.000 0.000 0.774
Os1 0.500 0.500 0.000
Br1 0.500 0.500 0.500
```

Properties
Excess energy over the best structure of this formula in the dataset (meV per atom): 93
SG: P4/mmm, No. 123
Crystal system: tetragonal

Here is a relaxed structure of Fe2OsBr from Alexandria. Energies are from GGA-PBE.

```
data_Fe2OsBr
_space_group_name_H-M_alt 'P 1'
_space_group_IT_number 1
_cell_length_a 5.060
_cell_length_b 5.060
_cell_length_c 5.060
_cell_angle_alpha 136.92
_cell_angle_beta 136.92
_cell_angle_gamma 62.56
loop_
_space_group_symop_operation_xyz
'x,y,z'
loop_
_atom_site_label
_atom_site_fract_x
_atom_site_fract_y
_atom_site_fract_z
Fe1 0.000 0.000 0.000
Fe2 0.750 0.250 0.500
Os1 0.250 0.750 0.500
Br1 0.500 0.500 0.000
```

Properties
Excess energy over the best structure of this formula in the dataset (meV per atom): 572
SG: I-4m2, No. 119
Crystal system: tetragonal

It is found that the DOS(E_F) values, taken in the order of the records, are 4.5; 5.9 states/eV/f.u..